First-principles (PBE) data for V2BSe after structural relaxation, as listed in Alexandria.

V in Å³/atom: 12.12
E_form (uncorrected) in meV per atom: 188.8
Energy in eV per atom: -6.9110
Total magnetic moment in μB/f.u.: 0.00

Cell: 4.0927 4.0927 4.0927 Å, 60.00 60.00 60.00°
Sites, in units of the cell vectors:
B  0.0000  0.0000  0.0000
Se  0.5000  0.5000  0.5000
V  0.2500  0.2500  0.2500
V  0.7500  0.7500  0.7500